Density functional theory data (PBE-GGA) for a geometry-optimized AgPd4Au structure.

Results
* excess energy over the best structure of this formula in the dataset: 0 meV/atom
* total magnetization: 0.00 μB/cell
* electronic total energy: -4.52 eV/atom
* energy of formation: -0.21 eV per formula unit

```
6
Lattice="2.0020 -6.0714 0.0000 2.0020 6.0714 0.0000 0.0000 0.0000 3.9968" Properties=species:S:1:pos:R:3 pbc="T T T"
Ag 0.0000 0.0000 0.0000
Pd 2.0020 4.0050 1.9984
Pd 2.0020 2.0555 0.0000
Pd 2.0020 -2.0555 0.0000
Pd 2.0020 -4.0050 1.9984
Au 2.0020 0.0000 1.9984
```



Density functional theory data (PBE-GGA) for a geometry-optimized CePm2Nd4 structure.

Results
* total magnetization: 1.40 μB/cell
* electronic total energy: -4.88 eV/atom
* energy of formation: 0.34 eV per formula unit

```
7
Lattice="3.1697 -1.8306 0.0000 3.1697 1.8306 0.0000 -0.0040 0.0000 20.8114" Properties=species:S:1:pos:R:3 pbc="T T T"
Ce 0.0000 0.0000 0.0000
Pm 0.0052 0.0000 14.8927
Pm 0.0088 0.0000 8.9162
Nd 2.1128 0.0000 2.9488
Nd 2.1111 0.0000 17.9015
Nd 4.2292 0.0000 5.9376
Nd 4.2355 0.0000 11.9204
```



Density functional theory data (PBE-GGA) for a geometry-optimized TbCePu2 structure.

Results
* excess energy over the best structure of this formula in the dataset: 0 meV/atom
* total magnetization: 11.07 μB/cell
* electronic total energy: -9.66 eV/atom
* energy of formation: 0.60 eV per formula unit

```
4
Lattice="3.3579 0.0000 0.0000 0.0000 3.3579 0.0000 0.0000 0.0000 9.4824" Properties=species:S:1:pos:R:3 pbc="T T T"
Tb 0.0000 0.0000 0.0000
Ce 0.0000 0.0000 4.7412
Pu 1.6789 1.6789 2.5743
Pu 1.6789 1.6789 6.9081
```



Density functional theory data (PBE-GGA) for a geometry-optimized La2PrY3 structure.

Results
* excess energy over the best structure of this formula in the dataset: 0 meV/atom
* total magnetization: 0.00 μB/cell
* electronic total energy: -5.61 eV/atom
* energy of formation: 0.35 eV per formula unit

```
12
Lattice="4.5779 -5.0289 0.0000 4.5779 5.0289 0.0000 -1.8129 0.0000 9.0090" Properties=species:S:1:pos:R:3 pbc="T T T"
La 1.8684 2.5337 7.8687
La 4.5682 2.5337 5.6447
La 2.7748 -2.5337 3.3642
La 5.4746 -2.5337 1.1402
Pr 4.1247 0.8587 2.2522
Pr 3.2183 -0.8587 6.7567
Y 4.1247 4.2006 2.2522
Y 1.3916 0.8363 4.5098
Y 2.2980 -0.8363 0.0054
Y 5.0449 0.8363 9.0036
Y 5.9514 -0.8363 4.4991
Y 3.2183 -4.2006 6.7567
```



Which value of energy of formation does entry 1 give?
-0.21 eV per formula unit